(1)
## Li2PrTiO4 (GGA-PBE)

Data for Li2PrTiO4 after structural relaxation.

Calculated values
formation energy from raw total energies = -1993 kJ/mol of formula units
DOS(E_F) = 0.10 states/eV per atom
magnetization = 0.118 μB/atom

Cell: 5.4277 5.0251 5.0251 Å, 80.41 57.31 57.31°
Closest atoms and distances in Å follow each position.
Atoms (fractional coordinates):
1 Li 0.5000 0.7500 0.2500  4 O 2.04
2 Li 0.5000 0.2500 0.7500  4 O 2.04
3 Pr 0.0000 0.0000 0.0000  4 O 2.40
4 Ti 0.0000 0.5000 0.5000  4 O 1.93
5 O 0.5682 0.5627 0.8691  1 Ti 1.93, 2 Li 2.04
6 O 0.4318 0.1309 0.4373  1 Ti 1.93, 2 Li 2.04
7 O 0.0000 0.4373 0.1309  1 Ti 1.93, 2 Li 2.04
8 O 0.0000 0.8691 0.5627  1 Ti 1.93, 2 Li 2.04

(2)
## Ba2LaGaO (GGA-PBE)

Data for Ba2LaGaO after structural relaxation.

Calculated values
formation energy from raw total energies = 317 kJ/mol of formula units
DOS(E_F) = 1.54 states/eV per atom
magnetization = 0.426 μB/atom

Cell: 6.5446 5.3628 6.5446 Å, 90.00 90.00 90.00°
Closest atoms and distances in Å follow each position.
Atoms (fractional coordinates):
1 O 0.5000 0.5000 0.5000  8 Ba 4.23, 4 Ga 4.63
2 Ba 0.0000 0.0000 0.5000  2 La 3.27
3 Ba 0.5000 0.0000 0.0000  2 La 3.27
4 Ga 0.0000 0.5000 0.0000  2 La 2.68
5 La 0.0000 0.0000 0.0000  2 Ga 2.68

(3)
## RhO2 (GGA-PBE)

Data for RhO2 after structural relaxation.

Calculated values
formation energy from raw total energies = -218 kJ/mol of formula units
DOS(E_F) = 0.84 states/eV per atom
magnetization = 0.000 μB/atom

Cell: 3.1316 4.5565 4.5583 Å, 90.00 90.00 90.00°
Closest atoms and distances in Å follow each position.
Atoms (fractional coordinates):
1 Rh 0.0000 0.0000 0.0000  6 O 1.98-2.00
2 Rh 0.5000 0.5000 0.5000  6 O 1.98-2.00
3 O 0.0000 0.3067 0.3070  3 Rh 1.98-2.00
4 O 0.5000 0.8067 0.1930  3 Rh 1.98-2.00
5 O 0.0000 0.6933 0.6930  3 Rh 1.98-2.00
6 O 0.5000 0.1933 0.8070  3 Rh 1.98-2.00

(4)
## Tb3SmY8 (GGA-PBE)

Data for Tb3SmY8 after structural relaxation.

Calculated values
E = -5.202 eV per atom
DOS(E_F) = 1.64 states/eV per atom
magnetization = 0.000 μB/atom

Cell: 8.3951 8.3951 8.3951 Å, 94.35 117.52 117.52°
Closest atoms and distances in Å follow each position.
Atoms (fractional coordinates):
1 Tb 0.5000 0.7500 0.2500  4 Y 3.44
2 Tb 0.5000 0.2500 0.7500  4 Y 3.44
3 Tb 0.0000 0.5000 0.5000  8 Y 3.05-3.23
4 Sm 0.0000 0.0000 0.0000  8 Y 3.11-3.27
5 Y 0.5045 0.2565 0.2565  1 Tb 3.05, 1 Sm 3.11, 2 Y 3.22-3.25
6 Y 0.4955 0.7520 0.7520  1 Tb 3.05, 1 Sm 3.11, 2 Y 3.22-3.25
7 Y 0.0000 0.7435 0.2480  1 Tb 3.05, 1 Sm 3.11, 2 Y 3.22-3.25
8 Y 0.0000 0.2480 0.7435  1 Tb 3.05, 1 Sm 3.11, 2 Y 3.22-3.25
9 Y 0.2525 0.3779 0.3779  3 Y 3.11-3.25, 3 Tb 3.23-3.44, 1 Sm 3.27
10 Y 0.7475 0.1254 0.1254  3 Y 3.11-3.25, 3 Tb 3.23-3.44, 1 Sm 3.27
11 Y 0.0000 0.6221 0.8746  3 Y 3.11-3.25, 3 Tb 3.23-3.44, 1 Sm 3.27
12 Y 0.0000 0.8746 0.6221  3 Y 3.11-3.25, 3 Tb 3.23-3.44, 1 Sm 3.27

(5)
## La3Zr (GGA-PBE)

Data for La3Zr after structural relaxation.

Calculated values
E = -5.674 eV per atom
DOS(E_F) = 1.97 states/eV per atom
magnetization = 0.000 μB/atom

Cell: 5.7926 6.2476 7.1929 Å, 90.00 90.00 90.00°
Closest atoms and distances in Å follow each position.
Atoms (fractional coordinates):
1 La 0.5000 0.6501 0.0000  8 La 3.45-3.75, 4 Zr 3.54-3.60
2 La 0.0000 0.8230 0.2515  8 La 3.45-3.75, 4 Zr 3.52-3.61
3 La 0.5000 0.1770 0.2485  8 La 3.45-3.75, 4 Zr 3.52-3.61
4 La 0.0000 0.3499 0.5000  8 La 3.45-3.75, 4 Zr 3.54-3.60
5 La 0.0000 0.8230 0.7485  8 La 3.45-3.75, 4 Zr 3.52-3.61
6 La 0.5000 0.1770 0.7515  8 La 3.45-3.75, 4 Zr 3.52-3.61
7 Zr 0.0000 0.3233 0.0000  12 La 3.52-3.61
8 Zr 0.5000 0.6767 0.5000  12 La 3.52-3.61

(6)
## CePuSc14 (GGA-PBE)

Data for CePuSc14 after structural relaxation.

Calculated values
E = -6.789 eV per atom
DOS(E_F) = 1.75 states/eV per atom
magnetization = 0.406 μB/atom

Cell: 6.6618 6.6618 10.4221 Å, 90.00 90.00 120.65°
Closest atoms and distances in Å follow each position.
Atoms (fractional coordinates):
1 Ce 0.8310 0.1690 0.0000  10 Sc 3.25-3.34, 2 Pu 3.30
2 Pu 0.3318 0.6682 0.0000  10 Sc 3.21-3.36, 2 Ce 3.30
3 Sc 0.3335 0.6665 0.5000  12 Sc 3.20-3.33
4 Sc 0.8330 0.1670 0.5000  12 Sc 3.20-3.33
5 Sc 0.8285 0.6695 0.0000  8 Sc 3.24-3.31, 2 Pu 3.31-3.36, 2 Ce 3.32-3.34
6 Sc 0.8340 0.6670 0.5000  12 Sc 3.19-3.33
7 Sc 0.3305 0.1715 0.0000  8 Sc 3.24-3.31, 2 Pu 3.31-3.36, 2 Ce 3.32-3.34
8 Sc 0.3330 0.1660 0.5000  12 Sc 3.19-3.33
9 Sc 0.6675 0.8312 0.7454  10 Sc 3.19-3.34, 1 Pu 3.28, 1 Ce 3.28
10 Sc 0.6675 0.8312 0.2546  10 Sc 3.19-3.34, 1 Pu 3.28, 1 Ce 3.28
11 Sc 0.1688 0.3325 0.7454  10 Sc 3.19-3.34, 1 Pu 3.28, 1 Ce 3.28
12 Sc 0.1688 0.3325 0.2546  10 Sc 3.19-3.34, 1 Pu 3.28, 1 Ce 3.28
13 Sc 0.1687 0.8313 0.7506  1 Pu 3.21, 11 Sc 3.23-3.34
14 Sc 0.1687 0.8313 0.2494  1 Pu 3.21, 11 Sc 3.23-3.34
15 Sc 0.6674 0.3326 0.7463  11 Sc 3.20-3.34, 1 Ce 3.25
16 Sc 0.6674 0.3326 0.2537  11 Sc 3.20-3.34, 1 Ce 3.25